No. 1
First-principles (GGA-PBE) data for a relaxed Mn2AgBr crystal, as listed in the Alexandria database.

Unit cell a=3.2647 b=3.2522 c=8.6580 alpha=58.47 beta=90.00 gamma=90.00
Last column: magnetic moment on the atom in μB.
Fractional positions:
Ag  0.0000  0.4344  0.4380  0.04
Br  0.5000  0.8143  0.8149  0.09
Mn  0.0000  0.0226  0.0189  3.79
Mn  0.5000  0.2287  0.2283  3.71

Calculated values
formation energy from raw total energies	0.2598	eV per atom
VASP energy	-5.4560	eV/atom
total moment	8.0	μB per cell
space group	Pm (6)



No. 2
First-principles (GGA-PBE) data for a relaxed MnAgBr4 crystal, as listed in the Alexandria database.

Unit cell a=6.9861 b=7.0347 c=9.2869 alpha=104.45 beta=104.24 gamma=110.10
Last column: magnetic moment on the atom in μB.
Fractional positions:
Mn  0.8094  0.0594  0.1188  3.72
Mn  0.1906  0.9406  0.8812  3.72
Ag  0.3416  0.5916  0.1833  0.00
Ag  0.6584  0.4084  0.8167  0.00
Br  0.2735  0.0611  0.6717  -0.02
Br  0.0771  0.8257  0.0919  0.01
Br  0.1019  0.3894  0.3283  -0.02
Br  0.4853  0.7339  0.9081  0.01
Br  0.7265  0.9389  0.3283  -0.02
Br  0.8981  0.6106  0.6717  -0.02
Br  0.9229  0.1743  0.9081  0.01
Br  0.5147  0.2661  0.0919  0.01

Calculated values
formation energy from raw total energies	-0.5265	eV per atom
VASP energy	-3.6452	eV/atom
total moment	8.0	μB per cell
space group	C2/c (15)



No. 3
First-principles (GGA-PBE) data for a relaxed Mn2AgBr crystal, as listed in the Alexandria database.

Unit cell a=5.0246 b=5.0246 c=5.0246 alpha=129.86 beta=129.86 gamma=73.63
Last column: magnetic moment on the atom in μB.
Fractional positions:
Ag  0.2500  0.7500  0.5000  -0.01
Br  0.7500  0.2500  0.5000  0.02
Mn  0.0000  0.0000  0.0000  3.77
Mn  0.5000  0.5000  0.0000  3.77

Calculated values
formation energy from raw total energies	0.5512	eV per atom
VASP energy	-5.1646	eV/atom
total moment	7.9	μB per cell
space group	I4/mmm (139)



No. 4
First-principles (GGA-PBE) data for a relaxed MnAg3Br6 crystal, as listed in the Alexandria database.

Unit cell a=6.7761 b=7.5961 c=11.0271 alpha=90.00 beta=96.78 gamma=90.00
Last column: magnetic moment on the atom in μB.
Fractional positions:
Mn  0.5000  0.5000  0.5000  3.75
Mn  0.0000  0.0000  0.0000  3.75
Ag  0.4269  0.0763  0.7713  0.00
Ag  0.5000  0.5000  0.0000  -0.04
Ag  0.5731  0.9237  0.2287  0.00
Ag  0.9269  0.4237  0.2713  0.00
Ag  0.0000  0.0000  0.5000  -0.04
Ag  0.0731  0.5763  0.7287  0.00
Br  0.2484  0.8001  0.9306  -0.02
Br  0.2893  0.7981  0.5952  0.02
Br  0.3092  0.5241  0.2959  -0.01
Br  0.6908  0.4759  0.7041  -0.01
Br  0.7107  0.2019  0.4048  0.02
Br  0.7516  0.1999  0.0694  -0.02
Br  0.7484  0.6999  0.4306  -0.02
Br  0.7893  0.7019  0.0952  0.02
Br  0.8092  0.9759  0.7959  -0.01
Br  0.1908  0.0241  0.2041  -0.01
Br  0.2107  0.2981  0.9048  0.02
Br  0.2516  0.3001  0.5694  -0.02

Calculated values
formation energy from raw total energies	-0.4245	eV per atom
VASP energy	-3.2005	eV/atom
total moment	7.9	μB per cell
space group	P2_1/c (14)



No. 5
First-principles (GGA-PBE) data for a relaxed Mn2AgBr crystal, as listed in the Alexandria database.

Unit cell a=3.1678 b=4.8632 c=4.8632 alpha=90.00 beta=90.00 gamma=90.00
Last column: magnetic moment on the atom in μB.
Fractional positions:
Ag  0.5000  0.5000  0.0000  0.03
Br  0.5000  0.0000  0.5000  0.09
Mn  0.0000  0.0000  0.0000  3.99
Mn  0.0000  0.5000  0.5000  3.99

Calculated values
formation energy from raw total energies	0.4895	eV per atom
VASP energy	-5.2264	eV/atom
total moment	8.6	μB per cell
space group	P4/mmm (123)



No. 6
First-principles (GGA-PBE) data for a relaxed MnAgBr crystal, as listed in the Alexandria database.

Unit cell a=4.6283 b=4.6283 c=4.6283 alpha=60.00 beta=60.00 gamma=60.00
Last column: magnetic moment on the atom in μB.
Fractional positions:
Ag  0.0000  0.0000  0.0000  0.03
Br  0.5000  0.5000  0.5000  0.03
Mn  0.7500  0.7500  0.7500  4.07

Calculated values
formation energy from raw total energies	0.3859	eV per atom
VASP energy	-4.1786	eV/atom
total moment	4.5	μB per cell
space group	F-43m (216)



No. 7
First-principles (GGA-PBE) data for a relaxed Mn2AgBr crystal, as listed in the Alexandria database.

Unit cell a=5.8991 b=5.8991 c=5.8991 alpha=141.70 beta=141.70 gamma=55.29
Last column: magnetic moment on the atom in μB.
Fractional positions:
Ag  0.5000  0.5000  0.0000  0.04
Br  0.7500  0.2500  0.5000  0.10
Mn  0.0000  0.0000  0.0000  4.08
Mn  0.2500  0.7500  0.5000  4.01

Calculated values
formation energy from raw total energies	0.5453	eV per atom
VASP energy	-5.1705	eV/atom
total moment	8.7	μB per cell
space group	I-4m2 (119)



No. 8
First-principles (GGA-PBE) data for a relaxed Mn2AgBr5 crystal, as listed in the Alexandria database.

Unit cell a=7.4688 b=7.8112 c=7.8112 alpha=63.43 beta=51.75 gamma=51.74
Last column: magnetic moment on the atom in μB.
Fractional positions:
Mn  0.5816  0.6054  0.0501  4.40
Mn  0.5816  0.0501  0.6054  4.40
Ag  0.9568  0.9684  0.9684  0.02
Br  0.6471  0.3848  0.3848  0.07
Br  0.0566  0.3094  0.7842  0.07
Br  0.0565  0.7842  0.3094  0.07
Br  0.4986  0.7217  0.7217  0.07
Br  0.6211  0.9529  0.9529  0.08

Calculated values
formation energy from raw total energies	-0.5663	eV per atom
VASP energy	-4.2606	eV/atom
total moment	10.0	μB per cell
space group	Cm (8)



No. 9
First-principles (GGA-PBE) data for a relaxed Mn5AgBr12 crystal, as listed in the Alexandria database.

Unit cell a=6.6989 b=6.7649 c=14.0281 alpha=90.31 beta=90.63 gamma=60.32
Last column: magnetic moment on the atom in μB.
Fractional positions:
Mn  0.5000  0.0000  0.5000  4.42
Mn  0.1665  0.6670  0.5000  4.42
Mn  0.8335  0.3331  0.5000  4.42
Mn  0.6649  0.6702  0.0000  4.12
Mn  0.3351  0.3298  0.0000  4.12
Ag  0.0000  0.0000  0.0000  -0.01
Br  0.8306  0.0000  0.3924  0.10
Br  0.1694  0.0000  0.6076  0.10
Br  0.6398  0.0000  0.8907  0.04
Br  0.3602  0.0000  0.1093  0.04
Br  0.3689  0.6378  0.8921  0.02
Br  0.9933  0.6378  0.1079  0.02
Br  0.0068  0.3622  0.8921  0.02
Br  0.6311  0.3622  0.1079  0.02
Br  0.5029  0.3333  0.6073  0.10
Br  0.8362  0.6668  0.6073  0.10
Br  0.1638  0.3333  0.3927  0.10
Br  0.4971  0.6668  0.3927  0.10

Calculated values
formation energy from raw total energies	-0.7006	eV per atom
VASP energy	-4.5213	eV/atom
total moment	24.0	μB per cell
space group	C2/m (12)



No. 10
First-principles (GGA-PBE) data for a relaxed Mn2AgBr crystal, as listed in the Alexandria database.

Unit cell a=6.7245 b=6.7245 c=6.7245 alpha=152.73 beta=142.87 gamma=46.68
Last column: magnetic moment on the atom in μB.
Fractional positions:
Ag  0.4610  0.4610  0.0000  0.04
Br  0.1962  0.6962  0.5000  0.04
Mn  0.0147  0.0147  0.0000  3.77
Mn  0.8280  0.3280  0.5000  3.96

Calculated values
formation energy from raw total energies	0.3509	eV per atom
VASP energy	-5.3649	eV/atom
total moment	8.2	μB per cell
space group	Imm2 (44)



No. 11
First-principles (GGA-PBE) data for a relaxed Mn2Ag4Br9 crystal, as listed in the Alexandria database.

Unit cell a=7.0008 b=7.0005 c=18.9894 alpha=90.10 beta=90.02 gamma=59.98
Last column: magnetic moment on the atom in μB.
Fractional positions:
Mn  0.9992  0.0009  0.3440  4.17
Mn  0.9995  0.0000  0.1558  4.17
Mn  0.0008  0.9991  0.6560  4.17
Mn  0.0005  0.0000  0.8442  4.17
Ag  0.3330  0.3340  0.9883  -0.02
Ag  0.3333  0.3342  0.4888  -0.02
Ag  0.6670  0.6660  0.0117  -0.02
Ag  0.3333  0.3332  0.1758  -0.03
Ag  0.6667  0.6658  0.5112  -0.02
Ag  0.6662  0.6677  0.3246  -0.03
Ag  0.3338  0.3323  0.6754  -0.03
Ag  0.6667  0.6668  0.8242  -0.03
Br  0.0014  0.2923  0.7503  0.02
Br  0.2939  0.7062  0.7498  0.02
Br  0.7077  0.9998  0.7500  0.02
Br  0.9986  0.7077  0.2497  0.02
Br  0.7061  0.2938  0.2502  0.02
Br  0.2923  0.0002  0.2500  0.02
Br  0.6873  0.9887  0.4140  0.01
Br  0.9870  0.3260  0.4140  0.01
Br  0.3238  0.6889  0.4137  0.01
Br  0.6749  0.0128  0.0859  0.01
Br  0.3119  0.6746  0.0861  0.01
Br  0.0127  0.3115  0.0863  0.01
Br  0.3127  0.0113  0.5860  0.01
Br  0.0130  0.6740  0.5860  0.01
Br  0.6762  0.3111  0.5863  0.01
Br  0.3251  0.9872  0.9141  0.01
Br  0.6881  0.3254  0.9139  0.01
Br  0.9873  0.6885  0.9137  0.01

Calculated values
formation energy from raw total energies	-0.4712	eV per atom
VASP energy	-3.4578	eV/atom
total moment	17.9	μB per cell
space group	P-1 (2)



No. 12
First-principles (GGA-PBE) data for a relaxed MnAg3Br crystal, as listed in the Alexandria database.

Unit cell a=5.2045 b=5.2045 c=5.2045 alpha=90.00 beta=90.00 gamma=90.00
Last column: magnetic moment on the atom in μB.
Fractional positions:
Mn  0.5000  0.5000  0.5000  4.45
Br  0.0000  0.0000  0.0000  0.01
Ag  0.0000  0.5000  0.0000  0.01
Ag  0.0000  0.0000  0.5000  0.01
Ag  0.5000  0.0000  0.0000  -0.01

Calculated values
formation energy from raw total energies	1.0074	eV per atom
VASP energy	-2.8718	eV/atom
total moment	4.8	μB per cell
space group	Pm-3m (221)



No. 13
First-principles (GGA-PBE) data for a relaxed MnAgBr crystal, as listed in the Alexandria database.

Unit cell a=6.7975 b=6.7975 c=6.7975 alpha=152.19 beta=152.19 gamma=39.74
Last column: magnetic moment on the atom in μB.
Fractional positions:
Ag  0.0369  0.0369  0.0000  0.04
Br  0.2945  0.2945  0.0000  0.11
Mn  0.6686  0.6686  0.0000  4.15

Calculated values
formation energy from raw total energies	0.1378	eV per atom
VASP energy	-4.4267	eV/atom
total moment	4.6	μB per cell
space group	I4mm (107)



No. 14
First-principles (GGA-PBE) data for a relaxed Mn2AgBr crystal, as listed in the Alexandria database.

Unit cell a=8.1627 b=8.1627 c=8.1627 alpha=24.05 beta=24.05 gamma=24.05
Last column: magnetic moment on the atom in μB.
Fractional positions:
Ag  0.2500  0.2500  0.2500  0.04
Br  0.7500  0.7500  0.7500  0.08
Mn  0.9968  0.9968  0.9968  4.08
Mn  0.5032  0.5032  0.5032  4.08

Calculated values
formation energy from raw total energies	0.3474	eV per atom
VASP energy	-5.3684	eV/atom
total moment	8.7	μB per cell
space group	R-3m (166)



No. 15
First-principles (GGA-PBE) data for a relaxed MnAg5Br12 crystal, as listed in the Alexandria database.

Unit cell a=6.7732 b=7.0456 c=13.1428 alpha=89.11 beta=88.16 gamma=61.27
Last column: magnetic moment on the atom in μB.
Fractional positions:
Mn  0.0000  0.0000  0.0000  3.05
Ag  0.5000  0.0000  0.5000  -0.12
Ag  0.1673  0.6655  0.5000  -0.12
Ag  0.8327  0.3346  0.5000  -0.12
Ag  0.6690  0.6621  0.0000  0.00
Ag  0.3310  0.3379  0.0000  0.00
Br  0.8140  0.0000  0.3827  -0.11
Br  0.1860  0.0000  0.6173  -0.11
Br  0.7213  0.0000  0.8858  -0.02
Br  0.2787  0.0000  0.1142  -0.02
Br  0.3010  0.7161  0.8909  -0.04
Br  0.9828  0.7161  0.1091  -0.04
Br  0.0172  0.2839  0.8909  -0.04
Br  0.6990  0.2839  0.1091  -0.04
Br  0.5184  0.3340  0.6189  -0.12
Br  0.8525  0.6660  0.6189  -0.12
Br  0.1475  0.3340  0.3811  -0.12
Br  0.4816  0.6660  0.3811  -0.12

Calculated values
formation energy from raw total energies	-0.2943	eV per atom
VASP energy	-2.7110	eV/atom
total moment	1.7	μB per cell
space group	C2/m (12)



No. 16
First-principles (GGA-PBE) data for a relaxed Mn2AgBr crystal, as listed in the Alexandria database.

Unit cell a=9.0650 b=9.0650 c=9.0650 alpha=19.84 beta=19.84 gamma=19.84
Last column: magnetic moment on the atom in μB.
Fractional positions:
Ag  0.5106  0.5106  0.5106  -0.01
Br  0.7332  0.7332  0.7332  -0.01
Mn  0.9990  0.9990  0.9990  3.31
Mn  0.2572  0.2572  0.2572  3.56

Calculated values
formation energy from raw total energies	0.3223	eV per atom
VASP energy	-5.3935	eV/atom
total moment	7.0	μB per cell
space group	R3m (160)



No. 17
First-principles (GGA-PBE) data for a relaxed MnAg3Br7 crystal, as listed in the Alexandria database.

Unit cell a=7.5894 b=7.5894 c=7.3263 alpha=67.53 beta=67.53 gamma=66.95
Last column: magnetic moment on the atom in μB.
Fractional positions:
Mn  0.0584  0.0584  0.9409  3.06
Ag  0.6787  0.1787  0.5204  -0.02
Ag  0.3991  0.3991  0.9798  -0.01
Ag  0.1787  0.6787  0.5204  -0.02
Br  0.1549  0.1549  0.1646  -0.04
Br  0.6981  0.1251  0.1704  -0.05
Br  0.9753  0.3906  0.7260  -0.02
Br  0.1251  0.6981  0.1704  -0.05
Br  0.5373  0.5373  0.5742  0.01
Br  0.3906  0.9753  0.7260  -0.02
Br  0.9289  0.9289  0.7569  -0.04

Calculated values
formation energy from raw total energies	-0.3973	eV per atom
VASP energy	-3.0731	eV/atom
total moment	3.0	μB per cell
space group	Cm (8)



No. 18
First-principles (GGA-PBE) data for a relaxed Mn2AgBr crystal, as listed in the Alexandria database.

Unit cell a=4.7258 b=4.7258 c=8.0988 alpha=56.10 beta=56.10 gamma=40.12
Last column: magnetic moment on the atom in μB.
Fractional positions:
Ag  0.2500  0.2500  0.2500  0.05
Br  0.7500  0.7500  0.7500  0.05
Mn  0.0604  0.0604  0.0810  3.94
Mn  0.4396  0.4396  0.4190  3.94

Calculated values
formation energy from raw total energies	0.2913	eV per atom
VASP energy	-5.4246	eV/atom
total moment	8.4	μB per cell
space group	C2/m (12)



No. 19
First-principles (GGA-PBE) data for a relaxed MnAgBr crystal, as listed in the Alexandria database.

Unit cell a=3.5244 b=3.5244 c=6.3413 alpha=90.00 beta=90.00 gamma=120.00
Last column: magnetic moment on the atom in μB.
Fractional positions:
Ag  0.0000  0.0000  0.9492  0.05
Br  0.6667  0.3333  0.3897  0.10
Mn  0.3333  0.6667  0.6611  4.16

Calculated values
formation energy from raw total energies	0.0617	eV per atom
VASP energy	-4.5028	eV/atom
total moment	4.6	μB per cell
space group	P3m1 (156)



No. 20
First-principles (GGA-PBE) data for a relaxed Mn2AgBr crystal, as listed in the Alexandria database.

Unit cell a=7.2443 b=7.2443 c=6.0460 alpha=53.19 beta=53.19 gamma=90.00
Last column: magnetic moment on the atom in μB.
Fractional positions:
Mn  0.6222  0.1250  0.2500  4.10
Mn  0.1278  0.6250  0.2500  4.09
Mn  0.3750  0.3778  0.7500  4.09
Mn  0.8750  0.8722  0.7500  4.10
Br  0.5000  0.5000  0.0000  0.11
Br  0.2500  0.7500  0.5000  0.11
Ag  0.0000  0.0000  0.0000  0.05
Ag  0.7500  0.2500  0.5000  0.05

Calculated values
formation energy from raw total energies	0.5581	eV per atom
VASP energy	-5.1577	eV/atom
total moment	17.8	μB per cell
space group	I-42d (122)